First-principles (PBE) data for a relaxed structure of Nd3Er2Pb3, as listed in Alexandria via LeMat-Bulk.

Values from the calculation:
- calculated total energy (Ry per atom) = -0.357
- magnetic moment (μB/atom) = 0.00
- ΔE_f (meV/atom) = -539.8
- density (Mg/m³) = 9.27
- density of states at the Fermi level (states/eV/cell) = 15.489

Lattice parameters (Å, degrees): 9.2461 9.2461 6.7216 90.00 90.00 120.00
Positions (direct):
Nd 0.0000 0.2405 0.2500
Nd 0.0000 0.7595 0.7500
Nd 0.2405 0.0000 0.2500
Nd 0.2405 0.2405 0.7500
Nd 0.7595 0.0000 0.7500
Nd 0.7595 0.7595 0.2500
Er 0.3333 0.6667 0.0000
Er 0.3333 0.6667 0.5000
Er 0.6667 0.3333 0.0000
Er 0.6667 0.3333 0.5000
Pb 0.0000 0.3980 0.7500
Pb 0.0000 0.6020 0.2500
Pb 0.3980 0.0000 0.7500
Pb 0.3980 0.3980 0.2500
Pb 0.6020 0.0000 0.2500
Pb 0.6020 0.6020 0.7500